(1)
A plane-wave DFT calculation with PBE was carried out for Nd3TlBr after structural relaxation.

Results
DFT total energy: -4.2720 eV/atom
symmetry: Pnma
DOS(E_F): 1.1030 states/eV/atom

```
Nd3TlBr
1.0
9.271 0.000 0.000
0.000 4.211 0.000
0.000 0.000 16.044
Nd Tl Br
12 4 4
Cartesian
0.240 1.053 1.723
1.415 1.053 8.702
1.563 3.158 4.496
3.073 1.053 12.518
3.221 3.158 0.680
4.395 3.158 9.745
4.876 1.053 6.299
6.050 1.053 15.364
6.199 3.158 3.526
7.708 1.053 11.548
7.857 3.158 7.342
9.031 3.158 14.321
0.950 3.158 11.145
3.686 1.053 3.123
5.585 3.158 12.921
8.321 1.053 4.899
1.776 1.053 15.150
2.860 3.158 7.128
6.411 1.053 8.916
7.495 3.158 0.894
```

***

(2)
A plane-wave DFT calculation with PBE was carried out for NdTmBr3 after structural relaxation.

Results
DFT total energy: -4.3508 eV/atom
symmetry: C2/m

```
NdTmBr3
1.0
9.355 -1.955 0.000
9.355 1.955 0.000
-6.658 0.000 9.622
Nd Tm Br
2 2 6
Cartesian
0.682 0.000 2.745
11.370 0.000 6.878
7.788 0.000 0.395
4.264 0.000 9.228
-4.365 0.000 7.248
3.132 0.000 1.087
2.999 0.000 4.723
9.052 0.000 4.900
8.920 0.000 8.536
16.417 0.000 2.374
```